Model 1:
# ErSi3Pd3 PBE optimized geometry
# DOS(E_F) (states/eV/cell): 8.93
data_ErSi3Pd3
_chemical_formula_sum 'Er2 Si6 Pd6'
_symmetry_space_group_name_H-M 'P m -3 n'
_symmetry_Int_Tables_number 223
_symmetry_space_group_name_Hall '-P 4n 2 3'
_cell_length_a 6.569
_cell_length_b 6.569
_cell_length_c 6.569
_cell_angle_alpha 90.00
_cell_angle_beta 90.00
_cell_angle_gamma 90.00
loop_
_atom_site_label
_atom_site_type_symbol
_atom_site_fract_x
_atom_site_fract_y
_atom_site_fract_z
Er1 Er 0.000 0.000 0.000
Si1 Si 0.000 0.250 0.500
Pd1 Pd 0.000 0.500 0.250

***

Model 2:
# ErSi3Pd3 PBE optimized geometry
# DOS(E_F) (states/eV/cell): 7.20
data_ErSi3Pd3
_chemical_formula_sum 'Er2 Si6 Pd6'
_symmetry_space_group_name_H-M 'P 63/m'
_symmetry_Int_Tables_number 176
_symmetry_space_group_name_Hall '-P 6c'
_cell_length_a 8.9663
_cell_length_b 8.9663
_cell_length_c 3.9805
_cell_angle_alpha 90.00
_cell_angle_beta 90.00
_cell_angle_gamma 120.00
loop_
_atom_site_label
_atom_site_type_symbol
_atom_site_fract_x
_atom_site_fract_y
_atom_site_fract_z
Er1 Er 0.3333 0.6667 0.2500
Si1 Si 0.0466 0.6112 0.7500
Pd1 Pd 0.0977 0.3680 0.7500

***

model 2 ends up most stable, edging out the next structure by 0.252 eV/atom.

***

Model 1:
# YErSiPd PBE optimized geometry
# DOS(E_F) (states/eV/cell): 6.46
data_YErSiPd
_chemical_formula_sum 'Y4 Er4 Si4 Pd4'
_symmetry_space_group_name_H-M 'F -4 3 m'
_symmetry_Int_Tables_number 216
_symmetry_space_group_name_Hall 'F -4 2 3'
_cell_length_a 7.012
_cell_length_b 7.012
_cell_length_c 7.012
_cell_angle_alpha 90.00
_cell_angle_beta 90.00
_cell_angle_gamma 90.00
loop_
_atom_site_label
_atom_site_type_symbol
_atom_site_fract_x
_atom_site_fract_y
_atom_site_fract_z
Y1 Y 0.000 0.000 0.000
Er1 Er 0.000 0.000 0.500
Si1 Si 0.250 0.250 0.750
Pd1 Pd 0.250 0.250 0.250

***

Model 2:
# YErSiPd PBE optimized geometry
# DOS(E_F) (states/eV/cell): 4.94
data_YErSiPd
_chemical_formula_sum 'Y2 Er2 Si2 Pd2'
_symmetry_space_group_name_H-M 'A m m 2'
_symmetry_Int_Tables_number 38
_symmetry_space_group_name_Hall 'A 2 -2'
_cell_length_a 4.234
_cell_length_b 3.932
_cell_length_c 10.716
_cell_angle_alpha 90.00
_cell_angle_beta 90.00
_cell_angle_gamma 90.00
loop_
_atom_site_label
_atom_site_type_symbol
_atom_site_fract_x
_atom_site_fract_y
_atom_site_fract_z
Y1 Y 0.000 0.000 0.000
Er1 Er 0.500 0.000 0.281
Si1 Si 0.000 0.000 0.721
Pd1 Pd 0.500 0.000 0.569

***

model 2 ends up most stable, edging out the next structure by 0.109 eV/atom.

***

Model 1:
# SmErPd2 PBE optimized geometry
# DOS(E_F) (states/eV/cell): 7.85
data_SmErPd2
_chemical_formula_sum 'Sm3 Er3 Pd6'
_symmetry_space_group_name_H-M 'R -3 m'
_symmetry_Int_Tables_number 166
_symmetry_space_group_name_Hall '-R 3 2"'
_cell_length_a 4.1296
_cell_length_b 4.1296
_cell_length_c 19.8437
_cell_angle_alpha 90.00
_cell_angle_beta 90.00
_cell_angle_gamma 120.00
loop_
_atom_site_label
_atom_site_type_symbol
_atom_site_fract_x
_atom_site_fract_y
_atom_site_fract_z
Sm1 Sm 0.0000 0.0000 0.0000
Er1 Er 0.0000 0.0000 0.5000
Pd1 Pd 0.0000 0.0000 0.2457

***

Model 2:
# SmErPd2 PBE optimized geometry
# DOS(E_F) (states/eV/cell): 2.23
data_SmErPd2
_chemical_formula_sum 'Sm1 Er1 Pd2'
_symmetry_space_group_name_H-M 'P 4/m m m'
_symmetry_Int_Tables_number 123
_symmetry_space_group_name_Hall '-P 4 2'
_cell_length_a 5.048
_cell_length_b 5.048
_cell_length_c 3.451
_cell_angle_alpha 90.00
_cell_angle_beta 90.00
_cell_angle_gamma 90.00
loop_
_atom_site_label
_atom_site_type_symbol
_atom_site_fract_x
_atom_site_fract_y
_atom_site_fract_z
Sm1 Sm 0.000 0.000 0.000
Er1 Er 0.500 0.500 0.000
Pd1 Pd 0.000 0.500 0.500

***

model 2 ends up most stable, edging out the next structure by 0.122 eV/atom.

***

Model 1:
# SmErPd2 PBE optimized geometry
# DOS(E_F) (states/eV/cell): 15.31
data_SmErPd2
_chemical_formula_sum 'Sm4 Er4 Pd8'
_symmetry_space_group_name_H-M 'F m -3 m'
_symmetry_Int_Tables_number 225
_symmetry_space_group_name_Hall '-F 4 2 3'
_cell_length_a 7.072
_cell_length_b 7.072
_cell_length_c 7.072
_cell_angle_alpha 90.00
_cell_angle_beta 90.00
_cell_angle_gamma 90.00
loop_
_atom_site_label
_atom_site_type_symbol
_atom_site_fract_x
_atom_site_fract_y
_atom_site_fract_z
Sm1 Sm 0.000 0.000 0.000
Er1 Er 0.000 0.000 0.500
Pd1 Pd 0.250 0.250 0.250

***

Model 2:
# SmErPd2 PBE optimized geometry
# DOS(E_F) (states/eV/cell): 5.54
data_SmErPd2
_chemical_formula_sum 'Sm2 Er2 Pd4'
_symmetry_space_group_name_H-M 'A m m 2'
_symmetry_Int_Tables_number 38
_symmetry_space_group_name_Hall 'A 2 -2'
_cell_length_a 4.567
_cell_length_b 3.774
_cell_length_c 10.613
_cell_angle_alpha 90.00
_cell_angle_beta 90.00
_cell_angle_gamma 90.00
loop_
_atom_site_label
_atom_site_type_symbol
_atom_site_fract_x
_atom_site_fract_y
_atom_site_fract_z
Sm1 Sm 0.000 0.000 0.000
Er1 Er 0.500 0.000 0.275
Pd1 Pd 0.000 0.000 0.726
Pd2 Pd 0.500 0.000 0.554

***

model 2 ends up most stable, edging out the next structure by 0.043 eV/atom.

***

Model 1:
# Er12SnPd6 PBE optimized geometry
# DOS(E_F) (states/eV/cell): 50.05
data_Er12SnPd6
_chemical_formula_sum 'Er36 Sn3 Pd18'
_symmetry_space_group_name_H-M 'R -3'
_symmetry_Int_Tables_number 148
_symmetry_space_group_name_Hall '-R 3'
_cell_length_a 14.0213
_cell_length_b 14.0213
_cell_length_c 8.8857
_cell_angle_alpha 90.00
_cell_angle_beta 90.00
_cell_angle_gamma 120.00
loop_
_atom_site_label
_atom_site_type_symbol
_atom_site_fract_x
_atom_site_fract_y
_atom_site_fract_z
Er1 Er 0.0400 0.2535 0.4272
Er2 Er 0.0578 0.1767 0.8242
Sn1 Sn 0.0000 0.0000 0.5000
Pd1 Pd 0.0714 0.4997 0.7799

***

Model 2:
# Er12SnPd6 PBE optimized geometry
# DOS(E_F) (states/eV/cell): 38.63
data_Er12SnPd6
_chemical_formula_sum 'Er24 Sn2 Pd12'
_symmetry_space_group_name_H-M 'I m -3'
_symmetry_Int_Tables_number 204
_symmetry_space_group_name_Hall '-I 2 2 3'
_cell_length_a 9.870
_cell_length_b 9.870
_cell_length_c 9.870
_cell_angle_alpha 90.00
_cell_angle_beta 90.00
_cell_angle_gamma 90.00
loop_
_atom_site_label
_atom_site_type_symbol
_atom_site_fract_x
_atom_site_fract_y
_atom_site_fract_z
Er1 Er 0.000 0.297 0.184
Sn1 Sn 0.000 0.000 0.000
Pd1 Pd 0.000 0.138 0.500

***

model 2 ends up most stable, edging out the next structure by 0.118 eV/atom.

***

Model 1:
# Er2SnPd4 PBE optimized geometry
# DOS(E_F) (states/eV/cell): 6.78
data_Er2SnPd4
_chemical_formula_sum 'Er4 Sn2 Pd8'
_symmetry_space_group_name_H-M 'C 1 2/m 1'
_symmetry_Int_Tables_number 12
_symmetry_space_group_name_Hall '-C 2y'
_cell_length_a 7.955
_cell_length_b 4.572
_cell_length_c 8.115
_cell_angle_alpha 90.00
_cell_angle_beta 108.75
_cell_angle_gamma 90.00
loop_
_atom_site_label
_atom_site_type_symbol
_atom_site_fract_x
_atom_site_fract_y
_atom_site_fract_z
Er1 Er 0.072 0.000 0.215
Sn1 Sn 0.000 0.500 0.500
Pd1 Pd 0.173 0.500 0.020
Pd2 Pd 0.200 0.000 0.601

***

Model 2:
# Er2SnPd4 PBE optimized geometry
# DOS(E_F) (states/eV/cell): 6.14
data_Er2SnPd4
_chemical_formula_sum 'Er4 Sn2 Pd8'
_symmetry_space_group_name_H-M 'I 4/m m m'
_symmetry_Int_Tables_number 139
_symmetry_space_group_name_Hall '-I 4 2'
_cell_length_a 4.902
_cell_length_b 4.902
_cell_length_c 14.221
_cell_angle_alpha 90.00
_cell_angle_beta 90.00
_cell_angle_gamma 90.00
loop_
_atom_site_label
_atom_site_type_symbol
_atom_site_fract_x
_atom_site_fract_y
_atom_site_fract_z
Er1 Er 0.000 0.000 0.130
Sn1 Sn 0.000 0.000 0.500
Pd1 Pd 0.000 0.000 0.313
Pd2 Pd 0.000 0.500 0.000

***

model 1 ends up most stable, edging out the next structure by 0.579 eV/atom.